PmTmSiIr: relaxed, PBE-GGA.

The structure in POSCAR format:
```
PmTmSiIr
1.0
3.8554 0.0000 0.0000
0.0000 2.1247 5.5045
0.0000 -2.1247 5.5045
Pm Tm Si Ir
1 1 1 1
Cartesian
0.0000 0.0000 0.0000 Pm
1.9277 0.0000 3.0982 Tm
1.9277 0.0000 6.4693 Si
0.0000 0.0000 8.0029 Ir
```

Values from the calculation:
N(E_F): 2.16 states/eV/cell
DFT total energy: -6.7080 eV per atom
Energy above the most stable polymorph in this dataset: 0 meV/atom